The following is a DFT calculation (PBE) of crystalline ZrRe2P at its relaxed geometry.

Results
Total magnetization ... 0.0 μB per formula unit
E_form ... -5.4 kcal/mol of atoms

Cell lengths 2.9339, 2.9339, 7.3443 Å; angles 90.00, 90.00, 90.00 degrees
Sites, in units of the cell vectors:
Zr (0.0000, 0.0000, 0.0000)
Re (0.0000, 0.0000, 0.4517)
Re (0.5000, 0.5000, 0.6981)
P (0.5000, 0.5000, 0.2717)

=====

The following is a DFT calculation (PBE) of crystalline CeNiRu at its relaxed geometry.

Results
Total magnetization ... 0.0 μB per formula unit
E above lowest polymorph ... 0.3163 eV per atom
E_form ... -1.7 kcal/mol of atoms

Cell lengths 7.2070, 3.5127, 4.4314 Å; angles 90.00, 90.00, 90.00 degrees
Sites, in units of the cell vectors:
Ce (0.2500, 0.0000, 0.0749)
Ce (0.7500, 0.0000, 0.9251)
Ni (0.2500, 0.5000, 0.6301)
Ni (0.7500, 0.5000, 0.3699)
Ru (0.0000, 0.0000, 0.5000)
Ru (0.5000, 0.0000, 0.5000)

=====

The following is a DFT calculation (PBE) of crystalline PBr2N at its relaxed geometry.

Results
Total magnetization ... 2.1 μB per formula unit
Uncorrected formation energy ... 1.7085 eV/atom
E above lowest polymorph ... 2.0254 eV per atom

Cell lengths 6.7008, 6.7008, 6.7008 Å; angles 90.00, 90.00, 90.00 degrees
Sites, in units of the cell vectors:
P (0.0000, 0.0000, 0.0000)
P (0.0000, 0.5000, 0.5000)
P (0.5000, 0.0000, 0.5000)
P (0.5000, 0.5000, 0.0000)
Br (0.2500, 0.2500, 0.2500)
Br (0.2500, 0.2500, 0.7500)
Br (0.2500, 0.7500, 0.2500)
Br (0.2500, 0.7500, 0.7500)
Br (0.7500, 0.2500, 0.2500)
Br (0.7500, 0.2500, 0.7500)
Br (0.7500, 0.7500, 0.2500)
Br (0.7500, 0.7500, 0.7500)
N (0.0000, 0.0000, 0.5000)
N (0.0000, 0.5000, 0.0000)
N (0.5000, 0.0000, 0.0000)
N (0.5000, 0.5000, 0.5000)

=====

The following is a DFT calculation (PBE) of crystalline BaLaGaCu at its relaxed geometry.

Results
Total magnetization ... 0.0 μB per formula unit
E_form ... -3.5 kcal/mol of atoms

Cell lengths 7.7385, 7.7385, 7.7385 Å; angles 90.00, 90.00, 90.00 degrees
Sites, in units of the cell vectors:
Ba (0.0000, 0.0000, 0.0000)
Ba (0.0000, 0.5000, 0.5000)
Ba (0.5000, 0.0000, 0.5000)
Ba (0.5000, 0.5000, 0.0000)
La (0.0000, 0.0000, 0.5000)
La (0.0000, 0.5000, 0.0000)
La (0.5000, 0.0000, 0.0000)
La (0.5000, 0.5000, 0.5000)
Ga (0.2500, 0.2500, 0.7500)
Ga (0.2500, 0.7500, 0.2500)
Ga (0.7500, 0.2500, 0.2500)
Ga (0.7500, 0.7500, 0.7500)
Cu (0.2500, 0.2500, 0.2500)
Cu (0.2500, 0.7500, 0.7500)
Cu (0.7500, 0.2500, 0.7500)
Cu (0.7500, 0.7500, 0.2500)

=====

The following is a DFT calculation (PBE) of crystalline TlInTe4 at its relaxed geometry.

Results
Total magnetization ... 0.0 μB per formula unit
Uncorrected formation energy ... 0.0605 eV/atom

Cell lengths 6.5465, 6.5465, 6.5465 Å; angles 60.00, 60.00, 60.00 degrees
Sites, in units of the cell vectors:
Tl (0.0000, 0.0000, 0.0000)
In (0.7500, 0.7500, 0.7500)
Te (0.3751, 0.3751, 0.3751)
Te (0.3751, 0.3751, 0.8746)
Te (0.3751, 0.8746, 0.3751)
Te (0.8746, 0.3751, 0.3751)

=====

The following is a DFT calculation (PBE) of crystalline Tb3Sn2Ru at its relaxed geometry.

Results
Total magnetization ... 0.0 μB per formula unit
E_form ... -14.5 kcal/mol of atoms

Cell lengths 12.5071, 4.3620, 11.6027 Å; angles 90.00, 90.00, 90.00 degrees
Sites, in units of the cell vectors:
Tb (0.0546, 0.2500, 0.1279)
Tb (0.1202, 0.7500, 0.5457)
Tb (0.2439, 0.2500, 0.7859)
Tb (0.2561, 0.7500, 0.2859)
Tb (0.3798, 0.2500, 0.0457)
Tb (0.4454, 0.7500, 0.6279)
Tb (0.5546, 0.2500, 0.3721)
Tb (0.6202, 0.7500, 0.9543)
Tb (0.7439, 0.2500, 0.7141)
Tb (0.7561, 0.7500, 0.2141)
Tb (0.8798, 0.2500, 0.4543)
Tb (0.9454, 0.7500, 0.8721)
Sn (0.0032, 0.2500, 0.6934)
Sn (0.1889, 0.7500, 0.9937)
Sn (0.3111, 0.2500, 0.4937)
Sn (0.4968, 0.7500, 0.1934)
Sn (0.5032, 0.2500, 0.8066)
Sn (0.6889, 0.7500, 0.5063)
Sn (0.8111, 0.2500, 0.0063)
Sn (0.9968, 0.7500, 0.3066)
Ru (0.1263, 0.2500, 0.3667)
Ru (0.3737, 0.7500, 0.8667)
Ru (0.6263, 0.2500, 0.1333)
Ru (0.8737, 0.7500, 0.6333)

=====

The following is a DFT calculation (PBE) of crystalline Ag2CO3 at its relaxed geometry.

Results
Total magnetization ... 0.0 μB per formula unit
Uncorrected formation energy ... -0.7099 eV/atom
E above lowest polymorph ... 0.0262 eV per atom

Cell lengths 9.8084, 9.8084, 9.8084 Å; angles 139.56, 71.27, 124.06 degrees
Sites, in units of the cell vectors:
Ag (0.0000, 0.0000, 0.0000)
Ag (0.0000, 0.5000, 0.5000)
Ag (0.3279, 0.8993, 0.9286)
Ag (0.3339, 0.0024, 0.3344)
Ag (0.3339, 0.4995, 0.8314)
Ag (0.3400, 0.4080, 0.4320)
Ag (0.6681, 0.9995, 0.6656)
Ag (0.6681, 0.5024, 0.1686)
Ag (0.6924, 0.9456, 0.2468)
Ag (0.6988, 0.4456, 0.7532)
Ag (0.9707, 0.3993, 0.0714)
Ag (0.9759, 0.9080, 0.5680)
C (0.0006, 0.3341, 0.6668)
C (0.0006, 0.8338, 0.1665)
C (0.3343, 0.0843, 0.7500)
C (0.3342, 0.5843, 0.2500)
C (0.6673, 0.3338, 0.3332)
C (0.6673, 0.8341, 0.8335)
O (0.0593, 0.3116, 0.7466)
O (0.0593, 0.8126, 0.2477)
O (0.1031, 0.4664, 0.6380)
O (0.1031, 0.9651, 0.1366)
O (0.1709, 0.9565, 0.7144)
O (0.2421, 0.4565, 0.2856)
O (0.2631, 0.5948, 0.1683)
O (0.4057, 0.2017, 0.7040)
O (0.4265, 0.0948, 0.8317)
O (0.4977, 0.7017, 0.2960)
O (0.5649, 0.3126, 0.2534)
O (0.5649, 0.8116, 0.7523)
O (0.6086, 0.2244, 0.3849)
O (0.6086, 0.7237, 0.8842)
O (0.8284, 0.4651, 0.3620)
O (0.8284, 0.9664, 0.8634)
O (0.8395, 0.2237, 0.6151)
O (0.8395, 0.7244, 0.1158)

=====

The following is a DFT calculation (PBE) of crystalline EuLuIn4 at its relaxed geometry.

Results
Total magnetization ... 7.7 μB per formula unit
E_form ... -6.7 kcal/mol of atoms

Cell lengths 6.0632, 6.0632, 6.0632 Å; angles 60.00, 60.00, 60.00 degrees
Sites, in units of the cell vectors:
Eu (0.0000, 0.0000, 0.0000)
Lu (0.2500, 0.2500, 0.2500)
In (0.1254, 0.6249, 0.6249)
In (0.6249, 0.1254, 0.6249)
In (0.6249, 0.6249, 0.1254)
In (0.6249, 0.6249, 0.6249)